## CaSCl2 (PBE-GGA)

Data for a relaxed CaSCl2 crystal.

```
CaSCl2
1.0
2.014 1.163 9.929
-2.014 1.163 9.929
0.000 -2.326 9.929
Ca S Cl
1 1 2
direct
0.000 0.000 0.000
0.500 0.500 0.500
0.382 0.382 0.382
0.618 0.618 0.618
```

Values from the calculation:
Energy relative to the elements, uncorrected: -1.101 eV/atom
Energy: -3.56 eV/atom
Energy above the lowest structure with this stoichiometry: 0.0 meV per atom
Space-group type: No. 166
Volume: 34.88 Å³ per atom